VPd2F (PBE with a Hubbard U, optimized geometry); VASP energy = -39.7 eV/cell; space group = No. 122
1.0
-3.580 5.972 1.132
-5.326 -3.716 2.755
-3.400 1.324 4.243
V Pd F
2 4 2
Direct
0.000 0.000 0.000
0.750 0.250 0.500
0.591 0.125 0.250
0.159 0.625 0.250
0.375 0.409 0.750
0.875 0.841 0.750
0.500 0.500 0.000
0.250 0.750 0.500